1.
# Cs2UTlBr6 (PBE, relaxed)
data_Cs2UTlBr6
_chemical_formula_sum 'Cs4 U2 Tl2 Br12'
_space_group_name_H-M_alt 'P m m n'
_space_group_IT_number 59
_cell_length_a 8.340
_cell_length_b 12.165
_cell_length_c 9.131
_cell_angle_alpha 90.00
_cell_angle_beta 90.00
_cell_angle_gamma 90.00
loop_
_space_group_symop_operation_xyz
'x,y,z'
'-x,-y,-z'
'-x+1/2,-y+1/2,z'
'x+1/2,y+1/2,-z'
'x+1/2,-y,-z'
'-x+1/2,y,z'
'-x,y+1/2,-z'
'x,-y+1/2,z'
loop_
_atom_site_label
_atom_site_type_symbol
_atom_site_fract_x
_atom_site_fract_y
_atom_site_fract_z
Cs1 Cs 0.250 0.031 0.196
U1 U 0.250 0.750 0.786
Tl1 Tl 0.250 0.250 0.709
Br1 Br 0.009 0.250 0.424
Br2 Br 0.010 0.750 0.018
Br3 Br 0.250 0.512 0.792
# Calculated density = 4.26 g/cm³
# Formation energy (no corrections) = -1.42 eV per atom
# Density of states at the Fermi level = 1.24 states/eV/f.u.
# Total DFT energy (no corrections) = -79.22 eV for the cell shown



2.
# Ac2Pr4SmDy2 (PBE, relaxed)
data_Ac2Pr4SmDy2
_chemical_formula_sum 'Ac4 Pr8 Sm2 Dy4'
_space_group_name_H-M_alt 'C 1 2/m 1'
_space_group_IT_number 12
_space_group_name_Hall '-C 2y'
_cell_length_a 17.711
_cell_length_b 3.717
_cell_length_c 10.195
_cell_angle_alpha 90.00
_cell_angle_beta 99.17
_cell_angle_gamma 90.00
loop_
_atom_site_label
_atom_site_type_symbol
_atom_site_fract_x
_atom_site_fract_y
_atom_site_fract_z
Ac1 Ac 0.163 0.000 0.085
Pr1 Pr 0.011 0.500 0.821
Pr2 Pr 0.170 0.000 0.722
Sm1 Sm 0.000 0.000 0.500
Dy1 Dy 0.166 0.500 0.422
# Calculated density = 7.48 g/cm³
# Density of states at the Fermi level = 11.25 states/eV/f.u.
# Total DFT energy (no corrections) = -82.07 eV for the cell shown
# E_form = 0.0247 eV/atom



3.
# ScMoBr2 (PBE, relaxed)
data_ScMoBr2
_chemical_formula_sum 'Sc2 Mo2 Br4'
_space_group_name_H-M_alt 'I m m m'
_space_group_IT_number 71
_space_group_name_Hall '-I 2 2'
_cell_length_a 3.457
_cell_length_b 4.289
_cell_length_c 14.487
_cell_angle_alpha 90.00
_cell_angle_beta 90.00
_cell_angle_gamma 90.00
loop_
_atom_site_label
_atom_site_type_symbol
_atom_site_fract_x
_atom_site_fract_y
_atom_site_fract_z
Sc1 Sc 0.000 0.000 0.000
Mo1 Mo 0.000 0.000 0.500
Br1 Br 0.000 0.500 0.139
# Calculated density = 4.65 g/cm³
# Formation energy (no corrections) = -0.33 eV per atom
# Density of states at the Fermi level = 1.99 states/eV/f.u.
# Polymorph energy (0 for the lowest one) = 30 meV per atom
# Total DFT energy (no corrections) = -43.65 eV for the cell shown



4.
# RbInPb (PBE, relaxed)
data_RbInPb
_chemical_formula_sum 'Rb4 In4 Pb4'
_space_group_name_H-M_alt 'C m c m'
_space_group_IT_number 63
_space_group_name_Hall '-C 2c 2'
_cell_length_a 4.944
_cell_length_b 17.993
_cell_length_c 5.237
_cell_angle_alpha 90.00
_cell_angle_beta 90.00
_cell_angle_gamma 90.00
loop_
_atom_site_label
_atom_site_type_symbol
_atom_site_fract_x
_atom_site_fract_y
_atom_site_fract_z
Rb1 Rb 0.000 0.082 0.250
In1 In 0.000 0.362 0.250
Pb1 Pb 0.000 0.251 0.750
# Calculated density = 5.81 g/cm³
# Density of states at the Fermi level = 1.04 states/eV/f.u.
# Total DFT energy (no corrections) = -31.04 eV for the cell shown
# E_form = -0.1151 eV/atom



5.
# NaVAs2 (PBE, relaxed)
data_NaVAs2
_chemical_formula_sum 'Na1 V1 As2'
_space_group_name_H-M_alt 'P 4/m m m'
_space_group_IT_number 123
_space_group_name_Hall '-P 4 2'
_cell_length_a 3.122
_cell_length_b 3.122
_cell_length_c 7.520
_cell_angle_alpha 90.00
_cell_angle_beta 90.00
_cell_angle_gamma 90.00
loop_
_atom_site_label
_atom_site_type_symbol
_atom_site_fract_x
_atom_site_fract_y
_atom_site_fract_z
Na1 Na 0.000 0.000 0.000
V1 V 0.000 0.000 0.500
As1 As 0.500 0.500 0.303
# Calculated density = 5.07 g/cm³
# Density of states at the Fermi level = 2.88 states/eV/f.u.
# Polymorph energy (0 for the lowest one) = 50 meV per atom
# Total DFT energy (no corrections) = -20.93 eV for the cell shown
# E_form = -0.2989 eV/atom



6.
# Eu5Pt4 (PBE, relaxed)
data_Eu5Pt4
_chemical_formula_sum 'Eu20 Pt16'
_space_group_name_H-M_alt 'P n m a'
_space_group_IT_number 62
_space_group_name_Hall '-P 2ac 2n'
_cell_length_a 7.708
_cell_length_b 15.156
_cell_length_c 7.920
_cell_angle_alpha 90.00
_cell_angle_beta 90.00
_cell_angle_gamma 90.00
loop_
_atom_site_label
_atom_site_type_symbol
_atom_site_fract_x
_atom_site_fract_y
_atom_site_fract_z
Eu1 Eu 0.009 0.096 0.180
Eu2 Eu 0.167 0.121 0.670
Eu3 Eu 0.170 0.750 0.510
Pt1 Pt 0.039 0.750 0.112
Pt2 Pt 0.167 0.542 0.470
Pt3 Pt 0.209 0.250 0.365
# Calculated density = 11.06 g/cm³
# Density of states at the Fermi level = 50.39 states/eV/f.u.
# Total DFT energy (no corrections) = -335.24 eV for the cell shown
# E_form = -0.9195 eV/atom



What did the sixth record say?
# Eu5Pt4 (PBE, relaxed)
data_Eu5Pt4
_chemical_formula_sum 'Eu20 Pt16'
_space_group_name_H-M_alt 'P n m a'
_space_group_IT_number 62
_space_group_name_Hall '-P 2ac 2n'
_cell_length_a 7.708
_cell_length_b 15.156
_cell_length_c 7.920
_cell_angle_alpha 90.00
_cell_angle_beta 90.00
_cell_angle_gamma 90.00
loop_
_atom_site_label
_atom_site_type_symbol
_atom_site_fract_x
_atom_site_fract_y
_atom_site_fract_z
Eu1 Eu 0.009 0.096 0.180
Eu2 Eu 0.167 0.121 0.670
Eu3 Eu 0.170 0.750 0.510
Pt1 Pt 0.039 0.750 0.112
Pt2 Pt 0.167 0.542 0.470
Pt3 Pt 0.209 0.250 0.365
# Calculated density = 11.06 g/cm³
# Density of states at the Fermi level = 50.39 states/eV/f.u.
# Total DFT energy (no corrections) = -335.24 eV for the cell shown
# E_form = -0.9195 eV/atom